Arrangement i

Crystalline NaLaAsBr2 at its relaxed geometry, computed with PBE-GGA.

## Properties
M_tot = 1.016 μB/f.u.

Structure (CIF):
```
data_NaLaAsBr2
_cell_length_a 5.056
_cell_length_b 5.056
_cell_length_c 5.678
_cell_angle_alpha 90.00
_cell_angle_beta 90.00
_cell_angle_gamma 90.00
_space_group_name_H-M_alt 'P 4/m m m'
_space_group_IT_number 123
_space_group_name_Hall '-P 4 2'
loop_
_atom_site_label
_atom_site_type_symbol
_atom_site_fract_x
_atom_site_fract_y
_atom_site_fract_z
_atom_site_occupancy
Na1 Na 0.000 0.000 0.000 1
La1 La 0.500 0.500 0.500 1
As1 As 0.000 0.000 0.500 1
Br1 Br 0.000 0.500 0.000 1
```


Arrangement ii

Crystalline NaLaAsBr2 at its relaxed geometry, computed with PBE-GGA.

## Properties
M_tot = 0.703 μB/f.u.

Structure (CIF):
```
data_NaLaAsBr2
_cell_length_a 5.908
_cell_length_b 5.908
_cell_length_c 5.789
_cell_angle_alpha 90.00
_cell_angle_beta 90.00
_cell_angle_gamma 90.00
_space_group_name_H-M_alt 'P 4/m m m'
_space_group_IT_number 123
_space_group_name_Hall '-P 4 2'
loop_
_atom_site_label
_atom_site_type_symbol
_atom_site_fract_x
_atom_site_fract_y
_atom_site_fract_z
_atom_site_occupancy
Na1 Na 0.000 0.000 0.000 1
La1 La 0.500 0.500 0.500 1
As1 As 0.500 0.500 0.000 1
Br1 Br 0.000 0.500 0.500 1
```


Last place for stability: arrangement i


Arrangement i

Crystalline LaAsBr2O at its relaxed geometry, computed with PBE-GGA.

## Properties
M_tot = 0.320 μB/f.u.

Structure (CIF):
```
data_LaAsBr2O
_cell_length_a 5.804
_cell_length_b 5.804
_cell_length_c 6.259
_cell_angle_alpha 90.00
_cell_angle_beta 90.00
_cell_angle_gamma 90.00
_space_group_name_H-M_alt 'P 4/m m m'
_space_group_IT_number 123
_space_group_name_Hall '-P 4 2'
loop_
_atom_site_label
_atom_site_type_symbol
_atom_site_fract_x
_atom_site_fract_y
_atom_site_fract_z
_atom_site_occupancy
La1 La 0.000 0.000 0.000 1
As1 As 0.000 0.000 0.500 1
Br1 Br 0.000 0.500 0.000 1
O1 O 0.500 0.500 0.500 1
```


Arrangement ii

Crystalline LaAsBr2O at its relaxed geometry, computed with PBE-GGA.

## Properties
M_tot = 0.000 μB/f.u.

Structure (CIF):
```
data_LaAsBr2O
_cell_length_a 4.768
_cell_length_b 4.768
_cell_length_c 4.738
_cell_angle_alpha 90.00
_cell_angle_beta 90.00
_cell_angle_gamma 90.00
_space_group_name_H-M_alt 'P 4/m m m'
_space_group_IT_number 123
_space_group_name_Hall '-P 4 2'
loop_
_atom_site_label
_atom_site_type_symbol
_atom_site_fract_x
_atom_site_fract_y
_atom_site_fract_z
_atom_site_occupancy
La1 La 0.000 0.000 0.000 1
As1 As 0.500 0.500 0.000 1
Br1 Br 0.000 0.500 0.500 1
O1 O 0.500 0.500 0.500 1
```


Last place for stability: arrangement i


Arrangement i

Crystalline LaAs2OsBr at its relaxed geometry, computed with PBE-GGA.

## Properties
M_tot = 0.006 μB/f.u.

Structure (CIF):
```
data_LaAs2OsBr
_cell_length_a 4.797
_cell_length_b 4.797
_cell_length_c 5.280
_cell_angle_alpha 90.00
_cell_angle_beta 90.00
_cell_angle_gamma 90.00
_space_group_name_H-M_alt 'P 4/m m m'
_space_group_IT_number 123
_space_group_name_Hall '-P 4 2'
loop_
_atom_site_label
_atom_site_type_symbol
_atom_site_fract_x
_atom_site_fract_y
_atom_site_fract_z
_atom_site_occupancy
La1 La 0.000 0.000 0.000 1
As1 As 0.000 0.500 0.500 1
Os1 Os 0.500 0.500 0.500 1
Br1 Br 0.500 0.500 0.000 1
```


Arrangement ii

Crystalline LaAs2OsBr at its relaxed geometry, computed with PBE-GGA.

## Properties
M_tot = 4.044 μB/f.u.

Structure (CIF):
```
data_LaAs2OsBr
_cell_length_a 5.747
_cell_length_b 5.747
_cell_length_c 5.598
_cell_angle_alpha 90.00
_cell_angle_beta 90.00
_cell_angle_gamma 90.00
_space_group_name_H-M_alt 'P 4/m m m'
_space_group_IT_number 123
_space_group_name_Hall '-P 4 2'
loop_
_atom_site_label
_atom_site_type_symbol
_atom_site_fract_x
_atom_site_fract_y
_atom_site_fract_z
_atom_site_occupancy
La1 La 0.000 0.000 0.000 1
As1 As 0.000 0.500 0.000 1
Os1 Os 0.500 0.500 0.500 1
Br1 Br 0.000 0.000 0.500 1
```


Last place for stability: arrangement ii


Arrangement i

Crystalline LaAs2PBr at its relaxed geometry, computed with PBE-GGA.

## Properties
M_tot = 0.000 μB/f.u.

Structure (CIF):
```
data_LaAs2PBr
_cell_length_a 4.866
_cell_length_b 4.866
_cell_length_c 5.098
_cell_angle_alpha 90.00
_cell_angle_beta 90.00
_cell_angle_gamma 90.00
_space_group_name_H-M_alt 'P 4/m m m'
_space_group_IT_number 123
_space_group_name_Hall '-P 4 2'
loop_
_atom_site_label
_atom_site_type_symbol
_atom_site_fract_x
_atom_site_fract_y
_atom_site_fract_z
_atom_site_occupancy
La1 La 0.000 0.000 0.000 1
As1 As 0.000 0.500 0.500 1
P1 P 0.500 0.500 0.500 1
Br1 Br 0.500 0.500 0.000 1
```


Arrangement ii

Crystalline LaAs2PBr at its relaxed geometry, computed with PBE-GGA.

## Properties
M_tot = 0.000 μB/f.u.

Structure (CIF):
```
data_LaAs2PBr
_cell_length_a 4.961
_cell_length_b 4.961
_cell_length_c 5.777
_cell_angle_alpha 90.00
_cell_angle_beta 90.00
_cell_angle_gamma 90.00
_space_group_name_H-M_alt 'P 4/m m m'
_space_group_IT_number 123
_space_group_name_Hall '-P 4 2'
loop_
_atom_site_label
_atom_site_type_symbol
_atom_site_fract_x
_atom_site_fract_y
_atom_site_fract_z
_atom_site_occupancy
La1 La 0.000 0.000 0.000 1
As1 As 0.000 0.500 0.500 1
P1 P 0.500 0.500 0.000 1
Br1 Br 0.000 0.000 0.500 1
```


Arrangement iii

Crystalline LaAs2PBr at its relaxed geometry, computed with PBE-GGA.

## Properties
M_tot = 0.287 μB/f.u.

Structure (CIF):
```
data_LaAs2PBr
_cell_length_a 5.975
_cell_length_b 5.975
_cell_length_c 5.732
_cell_angle_alpha 90.00
_cell_angle_beta 90.00
_cell_angle_gamma 90.00
_space_group_name_H-M_alt 'P 4/m m m'
_space_group_IT_number 123
_space_group_name_Hall '-P 4 2'
loop_
_atom_site_label
_atom_site_type_symbol
_atom_site_fract_x
_atom_site_fract_y
_atom_site_fract_z
_atom_site_occupancy
La1 La 0.000 0.000 0.000 1
As1 As 0.000 0.500 0.000 1
P1 P 0.500 0.500 0.500 1
Br1 Br 0.000 0.000 0.500 1
```


Last place for stability: arrangement iii


Arrangement i

Crystalline LaAsP2Br at its relaxed geometry, computed with PBE-GGA.

## Properties
M_tot = 0.433 μB/f.u.

Structure (CIF):
```
data_LaAsP2Br
_cell_length_a 5.604
_cell_length_b 5.604
_cell_length_c 5.982
_cell_angle_alpha 90.00
_cell_angle_beta 90.00
_cell_angle_gamma 90.00
_space_group_name_H-M_alt 'P 4/m m m'
_space_group_IT_number 123
_space_group_name_Hall '-P 4 2'
loop_
_atom_site_label
_atom_site_type_symbol
_atom_site_fract_x
_atom_site_fract_y
_atom_site_fract_z
_atom_site_occupancy
La1 La 0.000 0.000 0.000 1
As1 As 0.000 0.000 0.500 1
P1 P 0.000 0.500 0.000 1
Br1 Br 0.500 0.500 0.500 1
```


Arrangement ii

Crystalline LaAsP2Br at its relaxed geometry, computed with PBE-GGA.

## Properties
M_tot = 0.811 μB/f.u.

Structure (CIF):
```
data_LaAsP2Br
_cell_length_a 5.824
_cell_length_b 5.824
_cell_length_c 5.700
_cell_angle_alpha 90.00
_cell_angle_beta 90.00
_cell_angle_gamma 90.00
_space_group_name_H-M_alt 'P 4/m m m'
_space_group_IT_number 123
_space_group_name_Hall '-P 4 2'
loop_
_atom_site_label
_atom_site_type_symbol
_atom_site_fract_x
_atom_site_fract_y
_atom_site_fract_z
_atom_site_occupancy
La1 La 0.000 0.000 0.000 1
As1 As 0.500 0.500 0.500 1
P1 P 0.000 0.500 0.000 1
Br1 Br 0.000 0.000 0.500 1
```


Last place for stability: arrangement i


Arrangement i

Crystalline LaAsPbBr2 at its relaxed geometry, computed with PBE-GGA.

## Properties
M_tot = 0.302 μB/f.u.

Structure (CIF):
```
data_LaAsPbBr2
_cell_length_a 5.580
_cell_length_b 5.580
_cell_length_c 5.719
_cell_angle_alpha 90.00
_cell_angle_beta 90.00
_cell_angle_gamma 90.00
_space_group_name_H-M_alt 'P 4/m m m'
_space_group_IT_number 123
_space_group_name_Hall '-P 4 2'
loop_
_atom_site_label
_atom_site_type_symbol
_atom_site_fract_x
_atom_site_fract_y
_atom_site_fract_z
_atom_site_occupancy
La1 La 0.000 0.000 0.000 1
As1 As 0.500 0.500 0.000 1
Pb1 Pb 0.500 0.500 0.500 1
Br1 Br 0.000 0.500 0.500 1
```


Arrangement ii

Crystalline LaAsPbBr2 at its relaxed geometry, computed with PBE-GGA.

## Properties
M_tot = 0.143 μB/f.u.

Structure (CIF):
```
data_LaAsPbBr2
_cell_length_a 5.706
_cell_length_b 5.706
_cell_length_c 5.953
_cell_angle_alpha 90.00
_cell_angle_beta 90.00
_cell_angle_gamma 90.00
_space_group_name_H-M_alt 'P 4/m m m'
_space_group_IT_number 123
_space_group_name_Hall '-P 4 2'
loop_
_atom_site_label
_atom_site_type_symbol
_atom_site_fract_x
_atom_site_fract_y
_atom_site_fract_z
_atom_site_occupancy
La1 La 0.000 0.000 0.000 1
As1 As 0.000 0.000 0.500 1
Pb1 Pb 0.500 0.500 0.500 1
Br1 Br 0.000 0.500 0.000 1
```


Last place for stability: arrangement i